A plane-wave DFT calculation with PBE with a Hubbard U was carried out for crystalline CrSN2O at its relaxed geometry.

It has space group P4/mmm (No. 123), with a = 3.590 Å, b = 3.590 Å, c = 5.025 Å, α = 90.00°, β = 90.00° and γ = 90.00°. The asymmetric unit holds Cr at (0.000, 0.000, 0.000), S at (0.000, 0.000, 0.500), N at (0.000, 0.500, 0.000) and O at (0.500, 0.500, 0.500).

The total moment comes out at 0.77 Bohr magnetons per cell. The calculation puts the total DFT energy (no corrections) at -5.34 eV/atom. The density of states at the Fermi level comes out at 0.51 states/eV/atom.